1.
Compound: CsRb2NbI8
Source: Alexandria via LeMat-Bulk
Functional: PBE
Structure: relaxed

Summary:
formation energy from raw total energies = -902.5 meV/atom
symmetry = No. 2

Cell lengths 6.974, 8.714, 11.152 Å; angles 89.97, 90.00, 112.25 degrees
Last column: magnetic moment on the atom in μB.
Fractional coordinates of all 12 atoms:
I  0.579  0.803  0.000  -0.01
I  0.932  0.201  0.823  -0.01
I  0.931  0.200  0.177  -0.01
I  0.597  0.267  0.499  -0.01
I  0.068  0.799  0.177  -0.01
I  0.403  0.733  0.501  -0.01
I  0.421  0.197  0.000  -0.01
I  0.069  0.800  0.823  -0.01
Rb  0.501  0.499  0.738  0.00
Rb  0.499  0.501  0.262  0.00
Cs  0.000  0.000  0.500  0.00
Nb  0.000  0.000  0.000  0.23

---

2.
Compound: PmTlPb4
Source: Alexandria via LeMat-Bulk
Functional: PBE
Structure: relaxed

Summary:
formation energy from the elements = -0.079 eV/atom
symmetry = No. 216

Cell lengths 6.489, 6.489, 6.489 Å; angles 60.00, 60.00, 60.00 degrees
Fractional coordinates of all 6 atoms:
Pb  0.626  0.626  0.123
Pb  0.626  0.626  0.626
Pb  0.123  0.626  0.626
Pb  0.626  0.123  0.626
Pm  0.000  0.000  0.000
Tl  0.250  0.250  0.250

---

3.
Compound: CaIn2GaIr
Source: Alexandria via LeMat-Bulk
Functional: PBE
Structure: relaxed

Summary:
formation energy from the elements = 0.219 eV/atom
symmetry = No. 123

Cell lengths 5.196, 4.756, 5.196 Å; angles 90.00, 90.00, 90.00 degrees
Fractional coordinates of all 5 atoms:
Ca  0.500  0.500  0.500
Ga  0.000  0.000  0.000
In  0.500  0.000  0.000
In  0.000  0.000  0.500
Ir  0.000  0.500  0.000

---

4.
Compound: LaFeSb2Te
Source: Alexandria via LeMat-Bulk
Functional: PBE
Structure: relaxed

Summary:
formation energy from raw total energies = -266.5 meV/atom
symmetry = No. 123

Cell lengths 4.947, 4.947, 5.599 Å; angles 90.00, 90.00, 90.00 degrees
Last column: magnetic moment on the atom in μB.
Fractional coordinates of all 5 atoms:
Sb  0.500  0.000  0.000  0.00
Sb  0.000  0.500  0.000  0.00
Te  0.000  0.000  0.500  -0.04
La  0.500  0.500  0.500  0.07
Fe  0.000  0.000  0.000  2.07

---

Computed values of total energy (unit: eV/atom) for the preceding records, in sequence: -3.01; -3.74; -3.65; -5.22.